Density functional theory data (PBE) for an optimized crystal structure of Nd2ErZrN4.

Cell: 6.0064 3.4656 6.0786 Å, 90.00 109.07 90.00°
Space group P2/m (No. 10)
Unique sites:
Nd 0.0000 0.0000 0.0000 x1
Nd 0.5000 0.5000 0.0000 x1
Er 0.0000 0.5000 0.5000 x1
Zr 0.5000 0.0000 0.5000 x1
N 0.2525 0.0000 0.7263 x2
N 0.2672 0.5000 0.2775 x2

volume	14.95	Å³ per atom
calculated total energy	-8.553	eV/atom
total moment	0.000	μB/f.u.